CsPa2HO5 | Alexandria | GGA-PBE | relaxed; calculated volume = 167.0 Å³/cell; DFT total energy = -72.98 eV for the cell shown; space-group type = P4/mmm
1.0
4.333 0.000 0.000
0.000 4.333 0.000
0.000 0.000 8.897
Cs Pa H O
1 2 1 5
Direct
0.000 0.000 0.000 Cs
0.500 0.500 0.252 Pa
0.500 0.500 0.748 Pa
0.500 0.500 0.500 H
0.000 0.500 0.254 O
0.000 0.500 0.746 O
0.500 0.000 0.254 O
0.500 0.000 0.746 O
0.500 0.500 0.000 O